Record 1
# HfNpSe2

A relaxed HfNpSe2 crystal (PBE, Alexandria).

POSCAR file:
```
HfNpSe2
1.0
-2.408 1.930 -1.835
-0.591 -0.698 -3.472
-7.614 -5.618 0.570
Np Hf Se
1 1 2
Direct
0.000 0.000 0.000
0.500 0.500 0.500
0.106 0.106 0.682
0.894 0.894 0.318
```

ΔE_f (raw), eV/atom: -0.629



Record 2
# Hf3Np2Se8

A relaxed Hf3Np2Se8 crystal (PBE, Alexandria).

POSCAR file:
```
Hf3Np2Se8
1.0
-2.900 4.949 -3.346
-6.857 -2.822 1.769
4.276 3.587 5.871
Hf Np Se
3 2 8
Direct
0.500 0.000 0.000
0.000 0.255 0.000
0.000 0.745 0.000
0.673 0.754 0.508
0.327 0.246 0.492
0.085 0.387 0.774
0.915 0.613 0.226
0.099 0.886 0.771
0.901 0.114 0.229
0.410 0.859 0.223
0.410 0.364 0.223
0.590 0.636 0.777
0.590 0.141 0.777
```

ΔE_f (raw), eV/atom: -1.167



Record 3
# HfNp2Se5

A relaxed HfNp2Se5 crystal (PBE, Alexandria).

POSCAR file:
```
HfNp2Se5
1.0
-1.960 3.904 -6.209
4.896 -4.799 -4.563
-9.019 -7.453 -1.840
Hf Np Se
4 8 20
Direct
0.423 0.250 0.508
0.577 0.750 0.492
0.923 0.750 0.992
0.077 0.250 0.008
0.456 0.499 0.824
0.544 0.501 0.176
0.956 0.501 0.676
0.544 0.999 0.176
0.044 0.499 0.324
0.456 0.001 0.824
0.044 0.001 0.324
0.956 0.999 0.676
0.050 0.250 0.503
0.950 0.750 0.497
0.550 0.750 0.997
0.450 0.250 0.003
0.326 0.961 0.583
0.674 0.039 0.417
0.826 0.039 0.917
0.674 0.461 0.417
0.174 0.961 0.083
0.326 0.539 0.583
0.174 0.539 0.083
0.826 0.461 0.917
0.174 0.250 0.789
0.826 0.750 0.211
0.674 0.750 0.711
0.326 0.250 0.289
0.654 0.250 0.688
0.346 0.750 0.312
0.154 0.750 0.812
0.846 0.250 0.188
```

ΔE_f (raw), eV/atom: -1.214



Record 4
# HfNp2Se6

A relaxed HfNp2Se6 crystal (PBE, Alexandria).

POSCAR file:
```
HfNp2Se6
1.0
6.551 0.000 0.000
0.000 6.551 0.000
0.000 0.000 12.357
Hf Np Se
2 4 12
Direct
0.000 0.000 0.000
0.500 0.500 0.500
0.000 0.000 0.331
0.500 0.500 0.831
0.500 0.500 0.169
0.000 0.000 0.669
0.306 0.306 0.343
0.694 0.694 0.343
0.194 0.806 0.843
0.806 0.194 0.843
0.194 0.806 0.157
0.806 0.194 0.157
0.306 0.306 0.657
0.694 0.694 0.657
0.296 0.296 0.000
0.704 0.704 0.000
0.204 0.796 0.500
0.796 0.204 0.500
```

ΔE_f (raw), eV/atom: -1.015



Record 5
# HfNpSi2

A relaxed HfNpSi2 crystal (PBE, Alexandria).

POSCAR file:
```
HfNpSi2
1.0
-1.242 -3.560 -0.520
1.098 -1.969 -3.067
5.229 -4.179 2.193
Np Si Hf
1 2 1
Direct
0.500 0.500 0.500
0.255 0.255 0.234
0.745 0.745 0.766
0.000 0.000 0.000
```

ΔE_f (raw), eV/atom: -0.218



Record 6
# HfNpSi

A relaxed HfNpSi crystal (PBE, Alexandria).

POSCAR file:
```
HfNpSi
1.0
3.540 0.000 0.000
-1.770 3.548 -2.676
0.000 -5.154 13.150
Hf Si Np
2 2 2
Direct
0.702 0.405 0.878
0.298 0.595 0.122
0.820 0.639 0.751
0.180 0.361 0.249
0.166 0.332 0.506
0.834 0.668 0.494
```

ΔE_f (raw), eV/atom: -0.048



Record 7
# HfNpSn2

A relaxed HfNpSn2 crystal (PBE, Alexandria).

POSCAR file:
```
HfNpSn2
1.0
-2.015 -1.032 -3.060
3.193 -0.105 -2.067
0.830 -6.390 1.608
Np Hf Sn
1 1 2
Direct
0.500 0.500 0.000
0.500 0.500 0.500
0.000 0.000 0.725
0.000 0.000 0.275
```

E_form, meV/atom: -47.9



Record 8
# HfNpSn2

A relaxed HfNpSn2 crystal (PBE, Alexandria).

POSCAR file:
```
HfNpSn2
1.0
-2.603 -0.906 -3.444
3.598 -1.929 -2.212
-1.052 -4.115 1.877
Np Hf Sn
1 1 2
Direct
0.500 0.000 0.000
0.500 0.500 0.500
0.000 0.000 0.500
0.000 0.500 0.000
```

E_form, meV/atom: -37.7



Record 9
# HfNpSn2

A relaxed HfNpSn2 crystal (PBE, Alexandria).

POSCAR file:
```
HfNpSn2
1.0
3.175 0.000 0.000
1.587 2.750 0.000
1.587 0.917 11.450
Np Hf Sn
1 1 2
Direct
0.000 0.000 0.000
0.500 0.500 0.500
0.093 0.093 0.720
0.907 0.907 0.280
```

E_form, meV/atom: 165.0



Record 10
# HfNpTa

A relaxed HfNpTa crystal (PBE, Alexandria).

POSCAR file:
```
HfNpTa
1.0
-1.529 -0.475 2.492
-2.556 -6.757 -2.857
4.326 -2.554 2.168
Ta Hf Np
2 2 2
Direct
0.500 0.190 0.250
0.500 0.810 0.750
0.000 0.138 0.750
0.000 0.862 0.250
0.000 0.500 0.500
0.000 0.500 0.000
```

E_form, meV/atom: 455.2



Record 11
# HfNpTc2

A relaxed HfNpTc2 crystal (PBE, Alexandria).

POSCAR file:
```
HfNpTc2
1.0
-1.255 -0.515 2.977
-4.188 -0.906 -1.923
1.127 -4.549 -0.311
Np Hf Tc
1 1 2
Direct
0.500 0.500 0.500
0.500 0.000 0.000
0.000 0.000 0.500
0.000 0.500 0.000
```

E_form, meV/atom: -172.7



Record 12
# Hf2NpTc

A relaxed Hf2NpTc crystal (PBE, Alexandria).

POSCAR file:
```
Hf2NpTc
1.0
3.303 0.000 0.000
0.000 4.864 0.000
0.000 0.000 4.864
Np Hf Tc
1 2 1
Direct
0.500 0.500 0.500
0.000 0.000 0.500
0.000 0.500 0.000
0.500 0.000 0.000
```

E_form, meV/atom: 211.6